1.
## ZrInFe2 (GGA-PBE)

Data for a relaxed structure of ZrInFe2.

Calculated values
* E_form: 0.54 eV/atom
* space group: I-42d (122)
* Fermi-level density of states: 8.64 states/eV per cell

```
8
Lattice="-1.614 -6.841 -1.470 6.208 -2.096 2.939 1.022 -4.710 3.257" Properties=species:S:1:pos:R:3 pbc="T T T"
Fe 0.026 -5.702 0.265
Fe 3.931 -3.355 2.464
Fe 2.501 -6.888 2.999
Fe 4.774 -11.349 3.722
Zr 2.297 -4.469 0.734
Zr 4.763 -5.637 3.465
In 0.000 0.000 0.000
In 0.852 -8.010 1.260
```



2.
## Mn3Nb4Re (GGA-PBE)

Data for a relaxed structure of Mn3Nb4Re.

Calculated values
* E_form: -0.14 eV/atom
* space group: Pmmm (47)
* Fermi-level density of states: 2.99 states/eV per cell

```
8
Lattice="-1.092 -0.277 -2.905 1.776 -4.035 -0.283 -7.413 -3.482 3.118" Properties=species:S:1:pos:R:3 pbc="T T T"
Re 0.342 -2.156 -1.594
Nb -3.707 -1.741 1.559
Nb -4.616 -4.603 2.173
Nb 0.000 0.000 0.000
Nb -1.021 -2.914 0.661
Mn -2.428 -1.022 -0.661
Mn -3.364 -3.897 -0.035
Mn -6.077 -2.736 0.874
```



3.
## Sc3Zn2Ga (GGA-PBE)

Data for a relaxed structure of Sc3Zn2Ga.

Calculated values
* E_form: -0.46 eV/atom
* space group: P4/mmm (123)
* Fermi-level density of states: 5.45 states/eV per cell

```
6
Lattice="3.358 0.000 0.000 0.000 3.358 0.000 0.000 0.000 10.006" Properties=species:S:1:pos:R:3 pbc="T T T"
Sc 0.000 0.000 0.000
Sc 0.000 0.000 6.690
Sc 0.000 0.000 3.317
Zn 1.679 1.679 8.370
Zn 1.679 1.679 1.636
Ga 1.679 1.679 5.003
```



4.
## TiAgTeI2 (GGA-PBE)

Data for a relaxed structure of TiAgTeI2.

Calculated values
* space group: P4/mmm (123)
* ΔE_f (raw): -0.01 eV/atom
* Fermi-level density of states: 3.26 states/eV per cell

```
5
Lattice="-3.689 -4.071 1.285 3.008 -1.274 4.600 -2.857 3.484 2.834" Properties=species:S:1:pos:R:3 pbc="T T T"
I 1.504 -0.637 2.300
I -1.844 -2.035 0.642
Te -1.429 1.742 1.417
Ag -1.769 -0.931 4.359
Ti 0.000 0.000 0.000
```



Which formula does entry 1 have? ZrInFe2